No. 1
DFT (PBE) results for NaLiB4O7 after structural relaxation.

```
NaLiB4O7
1.0
8.490 0.003 0.005
-3.199 8.267 -0.028
2.093 4.116 7.125
Na Li B O
4 4 16 28
direct
0.287 0.020 0.016
0.965 0.980 0.733
0.517 0.480 0.285
0.234 0.520 0.963
0.766 0.263 0.237
0.013 0.763 0.484
0.753 0.237 0.751
0.499 0.737 0.497
0.714 0.945 0.114
0.019 0.555 0.310
0.136 0.445 0.536
0.560 0.348 0.012
0.640 0.652 0.788
0.940 0.055 0.231
0.029 0.262 0.379
0.888 0.591 0.864
0.545 0.409 0.703
0.360 0.738 0.233
0.017 0.238 0.890
0.386 0.091 0.362
0.871 0.762 0.221
0.547 0.909 0.705
0.462 0.152 0.610
0.238 0.848 0.690
0.072 0.214 0.034
0.240 0.913 0.497
0.569 0.307 0.854
0.216 0.714 0.178
0.993 0.394 0.273
0.492 0.330 0.601
0.977 0.894 0.257
0.396 0.807 0.681
0.131 0.397 0.721
0.577 0.587 0.660
0.745 0.000 0.255
0.332 0.606 0.402
0.995 0.500 0.505
0.753 0.413 0.010
0.752 0.786 0.142
0.590 0.087 0.673
0.267 0.000 0.733
0.649 0.830 0.758
0.069 0.670 0.837
0.883 0.603 0.265
0.985 0.103 0.367
0.517 0.500 0.983
0.848 0.106 0.918
0.529 0.897 0.119
0.108 0.286 0.498
0.512 0.193 0.411
0.413 0.170 0.181
0.839 0.693 0.738
```

Calculated values
Formation energy (no corrections) (eV per atom): -2.40
Total energy (eV per cell): -383.64
D(E_F) (states/eV per cell): 0.00

No. 2
DFT (PBE) results for LaTc2H7 after structural relaxation.

```
LaTc2H7
1.0
-0.656 -1.541 -3.169
0.818 -4.820 2.175
-4.884 2.130 -0.025
La Tc H
1 2 7
direct
0.000 0.000 0.000
0.500 0.310 0.619
0.500 0.690 0.381
0.000 0.346 0.692
0.000 0.654 0.308
0.500 0.320 0.283
0.500 0.680 0.717
0.500 0.037 0.717
0.500 0.963 0.283
0.500 0.500 0.000
```

Calculated values
Total energy (eV per cell): -50.36
D(E_F) (states/eV per cell): 5.02

Which value of total energy does entry 1 give?
-383.64 eV per cell